[1]
A plane-wave DFT calculation with GGA-PBE was carried out for MoAsRu2 after structural relaxation. Values from VASP.

symmetry = P4/mmm
total energy = -8.56 eV per atom
crystal system = tetragonal

Structure (Quantum ESPRESSO input):
```
&SYSTEM
  ibrav = 0, nat = 4, ntyp = 3
/
ATOMIC_SPECIES
Ru 101.07 Ru.upf
Mo 95.94 Mo.upf
As 74.92 As.upf
CELL_PARAMETERS angstrom
2.916 0.000 0.000
0.000 2.916 0.000
0.000 0.000 6.841
ATOMIC_POSITIONS angstrom
Ru 0.000 0.000 0.157
Ru 0.000 0.000 3.263
Mo 1.458 1.458 5.131
As 1.458 1.458 1.710
```


[2]
A plane-wave DFT calculation with GGA-PBE was carried out for MoAsRu after structural relaxation. Values from VASP.

symmetry = P1
total energy = -8.32 eV per atom
crystal system = triclinic

Structure (Quantum ESPRESSO input):
```
&SYSTEM
  ibrav = 0, nat = 6, ntyp = 3
/
ATOMIC_SPECIES
Ru 101.07 Ru.upf
Mo 95.94 Mo.upf
As 74.92 As.upf
CELL_PARAMETERS angstrom
4.267 -0.002 0.001
1.335 4.683 -0.001
2.061 1.844 4.545
ATOMIC_POSITIONS angstrom
Ru 3.792 2.433 0.474
Ru 1.585 0.605 1.245
Mo 5.777 1.862 3.955
Mo 3.680 3.394 3.279
As 1.630 3.113 1.563
As 5.035 5.552 2.783
```


| no. | N(E_F) (states/eV per cell) |
| --- | --- |
| 1 | 3.21 |
| 2 | 3.50 |